The following is a GGA-PBE calculation of an optimized crystal structure of LiVIn2, from Alexandria via LeMat-Bulk.

extended XYZ file:
```
4
Lattice="4.856 0.000 0.000 0.000 4.856 0.000 0.000 0.000 3.035" Properties=species:S:1:pos:R:3 pbc="T T T"
Li 0.000 0.000 0.000
V 2.428 2.428 0.000
In 0.000 2.428 1.518
In 2.428 0.000 1.518
```

density	6.7	g/cm³
total magnetization	0.27	μB per cell
final energy	-16.510	eV/cell